*1*
## AlGe2B (PBE-GGA)

Data for AlGe2B after structural relaxation.

Cell lengths 4.458, 4.458, 4.458 Å; angles 60.00, 60.00, 60.00 degrees
Element x y z (fractional)
Al1 0.000 0.000 0.000
Ge1 0.250 0.250 0.250
Ge2 0.750 0.750 0.750
B1 0.500 0.500 0.500

magnetization	0.0000	μB/atom
N(E_F)	0.495	states/eV per atom
crystal system	cubic
space-group type	Fm-3m (225)

*2*
## AlGe2B (PBE-GGA)

Data for AlGe2B after structural relaxation.

Cell lengths 6.252, 6.252, 6.252 Å; angles 127.48, 127.48, 77.47 degrees
Element x y z (fractional)
Al1 0.000 0.000 0.000
Al2 0.750 0.250 0.500
Ge1 0.196 0.625 0.071
Ge2 0.375 0.446 0.571
Ge3 0.554 0.125 0.929
Ge4 0.875 0.804 0.429
B1 0.250 0.750 0.500
B2 0.500 0.500 0.000

magnetization	0.0000	μB/atom
N(E_F)	0.196	states/eV per atom
crystal system	tetragonal
space-group type	I-42d (122)

Going by the computed energies, the most stable comes first: *2*, *1*.

*1*
## AlB2H6 (PBE-GGA)

Data for AlB2H6 after structural relaxation.

Cell lengths 8.180, 8.180, 3.352 Å; angles 92.54, 92.54, 74.07 degrees
Element x y z (fractional)
Al1 0.099 0.901 0.750
Al2 0.901 0.099 0.250
B1 0.263 0.396 0.734
B2 0.396 0.263 0.234
B3 0.604 0.737 0.766
B4 0.737 0.604 0.266
H1 0.149 0.332 0.727
H2 0.232 0.548 0.807
H3 0.332 0.149 0.227
H4 0.333 0.414 0.405
H5 0.414 0.333 0.905
H6 0.452 0.768 0.693
H7 0.548 0.232 0.307
H8 0.586 0.667 0.095
H9 0.667 0.586 0.595
H10 0.668 0.851 0.773
H11 0.768 0.452 0.193
H12 0.851 0.668 0.273

magnetization	0.0000	μB/atom
crystal system	monoclinic
space-group type	C2/c (15)

*2*
## AlB2H6 (PBE-GGA)

Data for AlB2H6 after structural relaxation.

Cell lengths 4.342, 4.342, 4.408 Å; angles 105.52, 105.52, 98.34 degrees
Element x y z (fractional)
Al1 0.000 0.000 0.000
B1 0.165 0.165 0.621
B2 0.835 0.835 0.379
H1 0.085 0.393 0.801
H2 0.302 0.302 0.459
H3 0.393 0.085 0.801
H4 0.607 0.915 0.199
H5 0.698 0.698 0.541
H6 0.915 0.607 0.199

magnetization	0.0000	μB/atom
N(E_F)	0.142	states/eV per atom
crystal system	monoclinic
space-group type	C2/m (12)

Going by the computed energies, the most stable comes first: *2*, *1*.

*1*
## AlB2H8 (PBE-GGA)

Data for AlB2H8 after structural relaxation.

Cell lengths 6.665, 6.665, 8.674 Å; angles 127.65, 127.65, 44.94 degrees
Element x y z (fractional)
Al1 0.034 0.966 0.750
Al2 0.966 0.034 0.250
B1 0.134 0.673 0.974
B2 0.327 0.866 0.526
B3 0.673 0.134 0.474
B4 0.866 0.327 0.026
H1 0.128 0.687 0.830
H2 0.136 0.172 0.044
H3 0.172 0.136 0.544
H4 0.207 0.728 0.367
H5 0.256 0.419 0.960
H6 0.272 0.793 0.133
H7 0.313 0.872 0.670
H8 0.419 0.256 0.460
H9 0.581 0.744 0.540
H10 0.687 0.128 0.330
H11 0.728 0.207 0.867
H12 0.744 0.581 0.040
H13 0.793 0.272 0.633
H14 0.828 0.864 0.456
H15 0.864 0.828 0.956
H16 0.872 0.313 0.170

magnetization	0.0000	μB/atom
crystal system	monoclinic
space-group type	C2/c (15)

*2*
## AlB2H8 (PBE-GGA)

Data for AlB2H8 after structural relaxation.

Cell lengths 4.841, 4.841, 4.441 Å; angles 100.68, 100.68, 74.66 degrees
Element x y z (fractional)
Al1 0.000 0.000 0.000
B1 0.198 0.198 0.672
B2 0.802 0.802 0.328
H1 0.055 0.703 0.275
H2 0.176 0.176 0.374
H3 0.297 0.945 0.725
H4 0.355 0.355 0.800
H5 0.645 0.645 0.200
H6 0.703 0.055 0.275
H7 0.824 0.824 0.626
H8 0.945 0.297 0.725

magnetization	0.0000	μB/atom
N(E_F)	0.134	states/eV per atom
crystal system	monoclinic
space-group type	C2/m (12)

Going by the computed energies, the most stable comes first: *1*, *2*.